Compound: Li2CaZnAg4
Source: the Alexandria database
Functional: PBE-GGA
Structure: relaxed Values from VASP.

Quantum ESPRESSO input file:
```
&SYSTEM
  ibrav = 0, nat = 8, ntyp = 4
/
ATOMIC_SPECIES
Li 6.94 Li.upf
Ca 40.08 Ca.upf
Zn 65.41 Zn.upf
Ag 107.87 Ag.upf
ATOMIC_POSITIONS angstrom
Li 0.000 0.000 6.217
Li 0.000 0.000 19.942
Ca 0.000 0.000 0.000
Zn 0.000 0.000 13.079
Ag 0.000 0.000 3.390
Ag 0.000 0.000 10.460
Ag 0.000 0.000 15.699
Ag 0.000 0.000 22.769
CELL_PARAMETERS angstrom
2.264 1.307 8.719
-2.264 1.307 8.719
0.000 -2.614 8.719
```

- Size of the total moment: 0.000 μB/atom
- E: -2.492 eV per atom

=====

Compound: LiCaZr2Ag
Source: the Alexandria database
Functional: PBE-GGA
Structure: relaxed Values from VASP.

Quantum ESPRESSO input file:
```
&SYSTEM
  ibrav = 0, nat = 5, ntyp = 4
/
ATOMIC_SPECIES
Li 6.94 Li.upf
Ca 40.08 Ca.upf
Zr 91.22 Zr.upf
Ag 107.87 Ag.upf
ATOMIC_POSITIONS angstrom
Li 0.000 0.000 0.000
Ca 2.452 2.452 2.390
Zr 0.000 2.452 0.000
Zr 2.452 0.000 0.000
Ag 0.000 0.000 2.390
CELL_PARAMETERS angstrom
4.904 0.000 0.000
0.000 4.904 0.000
0.000 0.000 4.780
```

- Size of the total moment: 0.000 μB/atom
- E: -4.157 eV per atom

=====

Among the records above, which one has the lowest E?
LiCaZr2Ag

=====

What is the formula in the second record?
LiCaZr2Ag